Pr2In8Ga: relaxed, PBE.

Calculated values
**Calculated volume**: 26.7 Å³/atom
**DFT formation energy**: -3.243 eV/f.u.

Lattice parameters (Å, degrees): 4.8307 4.8307 12.6094 90.00 90.00 90.00
Element x y z (fractional)
Pr 0.0000 0.0000 0.1850
Pr 0.0000 0.0000 0.8150
In 0.0000 0.5000 0.0000
In 0.0000 0.5000 0.3709
In 0.0000 0.5000 0.6291
In 0.5000 0.0000 0.0000
In 0.5000 0.0000 0.3709
In 0.5000 0.0000 0.6291
In 0.5000 0.5000 0.1836
In 0.5000 0.5000 0.8164
Ga 0.0000 0.0000 0.5000

---

Cu2PRu: relaxed, PBE.

Calculated values
**Calculated volume**: 13.0 Å³/atom
**DFT formation energy**: -0.220 eV/f.u.

Lattice parameters (Å, degrees): 4.4225 4.4225 4.5467 111.40 111.40 39.23
Element x y z (fractional)
Cu 0.0000 0.0000 0.0000
Cu 0.2332 0.2332 0.8161
P 0.5201 0.5201 0.4242
Ru 0.7978 0.7978 0.3714

---

PrPaPdRh: relaxed, PBE.

Calculated values
**Calculated volume**: 22.0 Å³/atom
**DFT formation energy**: -1.924 eV/f.u.

Lattice parameters (Å, degrees): 4.9951 4.9951 4.9951 60.00 60.00 60.00
Element x y z (fractional)
Pr 0.0000 0.0000 0.0000
Pa 0.5000 0.5000 0.5000
Pd 0.7500 0.7500 0.7500
Rh 0.2500 0.2500 0.2500

---

Cd2HgSb2: relaxed, PBE.

Calculated values
**Calculated volume**: 29.1 Å³/atom
**Formation energy (no corrections)**: 96 meV/atom
**Polymorph energy (0 for the lowest one)**: 60.6 meV per atom

Lattice parameters (Å, degrees): 7.7590 7.7590 7.7590 146.02 146.02 48.82
Element x y z (fractional)
Cd 0.0977 0.0977 0.0000
Cd 0.9023 0.9023 0.0000
Hg 0.5000 0.5000 0.0000
Sb 0.2500 0.7500 0.5000
Sb 0.7500 0.2500 0.5000

---

CaAcNdHg: relaxed, PBE.

Calculated values
**Calculated volume**: 34.9 Å³/atom
**DFT formation energy**: -0.962 eV/f.u.
**Polymorph energy (0 for the lowest one)**: 0.0 meV per atom

Lattice parameters (Å, degrees): 3.8045 3.8045 9.6481 90.00 90.00 90.00
Element x y z (fractional)
Ca 0.0000 0.0000 0.0000
Ac 0.5000 0.5000 0.3207
Nd 0.0000 0.0000 0.6021
Hg 0.5000 0.5000 0.8035

---

Ta2TlPb: relaxed, PBE.

Calculated values
**Calculated volume**: 21.2 Å³/atom
**DFT formation energy**: 2.517 eV/f.u.
**Polymorph energy (0 for the lowest one)**: 271.0 meV per atom

Lattice parameters (Å, degrees): 5.2663 5.2663 5.3031 98.83 98.83 35.83
Element x y z (fractional)
Ta 0.2492 0.2492 0.2431
Ta 0.7508 0.7508 0.7569
Tl 0.5000 0.5000 0.0000
Pb 0.0000 0.0000 0.5000

---

AcAg2GeSe4: relaxed, PBE.

Calculated values
**Calculated volume**: 30.1 Å³/atom
**Formation energy (no corrections)**: -636 meV/atom

Lattice parameters (Å, degrees): 9.2956 8.1363 6.3755 90.00 90.00 90.00
Element x y z (fractional)
Ac 0.0000 0.1878 0.0000
Ac 0.5000 0.8122 0.5000
Ag 0.2441 0.3061 0.5785
Ag 0.2559 0.6939 0.0785
Ag 0.7441 0.6939 0.0785
Ag 0.7559 0.3061 0.5785
Ge 0.0000 0.8119 0.5691
Ge 0.5000 0.1881 0.0691
Se 0.0000 0.1459 0.4988
Se 0.0000 0.8144 0.9612
Se 0.2138 0.6349 0.4884
Se 0.2862 0.3651 0.9884
Se 0.5000 0.1856 0.4612
Se 0.5000 0.8541 0.9988
Se 0.7138 0.3651 0.9884
Se 0.7862 0.6349 0.4884

---

LiPm2ErIn4: relaxed, PBE.

Calculated values
**Calculated volume**: 26.3 Å³/atom
**DFT formation energy**: -3.406 eV/f.u.

Lattice parameters (Å, degrees): 9.3033 9.3033 9.3033 32.83 32.83 32.83
Element x y z (fractional)
Li 0.0000 0.0000 0.0000
Pm 0.2551 0.2551 0.2551
Pm 0.7449 0.7449 0.7449
Er 0.5000 0.5000 0.5000
In 0.1248 0.1248 0.1248
In 0.3749 0.3749 0.3749
In 0.6251 0.6251 0.6251
In 0.8752 0.8752 0.8752